Density functional theory data (PBE-GGA) for a relaxed structure of CdS.

## Properties
Formation energy (no corrections) ... -567 meV per atom

Cell lengths 4.2200, 6.2330, 12.9853 Å; angles 90.00, 90.00, 90.00 degrees
Element x y z (fractional)
Cd: 0.5000 0.0881 0.3548
S: 0.5000 0.1477 0.1536
S: 0.5000 0.3607 0.5000
Cd: 0.5000 0.4053 0.0000
S: 0.0000 0.8523 0.3464
Cd: 0.0000 0.5947 0.5000
S: 0.0000 0.6394 0.0000
Cd: 0.0000 0.9119 0.1452
S: 0.5000 0.1477 0.8464
Cd: 0.5000 0.0881 0.6452
Cd: 0.0000 0.9119 0.8548
S: 0.0000 0.8523 0.6536


Density functional theory data (PBE-GGA) for a relaxed structure of Sr4Pr.

## Properties
Energy relative to the elements ... 0.512 eV/atom
N(E_F) ... 10.682 states/eV per cell

Cell lengths 6.4535, 6.4535, 6.4535 Å; angles 90.00, 90.00, 90.00 degrees
Element x y z (fractional)
Sr: 0.0000 0.0000 0.0000
Pr: 0.5000 0.5000 0.5000
Sr: 0.5000 0.5000 0.0000
Sr: 0.0000 0.5000 0.5000
Sr: 0.5000 0.0000 0.5000


Density functional theory data (PBE-GGA) for a relaxed structure of LaNdSmCu.

## Properties
Energy relative to the elements ... -0.061 eV/atom
N(E_F) ... 4.658 states/eV per cell

Cell lengths 3.6310, 3.6310, 8.8647 Å; angles 90.00, 90.00, 90.00 degrees
Element x y z (fractional)
Sm: 0.5000 0.5000 0.7636
La: 0.0000 0.0000 0.0682
Nd: 0.5000 0.5000 0.3767
Cu: 0.0000 0.0000 0.5761


| no. | magnetic moment (μB per formula unit) | electronic total energy (eV/atom) |
| --- | --- | --- |
| 1 | 0.00 | -3.0879 |
| 2 | 1.23 | -1.7896 |
| 3 | 0.00 | -4.6888 |